# Zr4TlAu PBEsol optimized geometry
# DOS at the Fermi energy in states/eV per cell: 5.03
# Final energy in eV/atom: -6.98
# V in Å³/cell: 125.5
# DFT formation energy in meV/atom: 170
data_Zr4TlAu
_chemical_formula_sum 'Zr4 Tl1 Au1'
_cell_length_a 5.620
_cell_length_b 5.620
_cell_length_c 5.620
_cell_angle_alpha 60.00
_cell_angle_beta 60.00
_cell_angle_gamma 60.00
_space_group_name_H-M_alt 'P 1'
_space_group_IT_number 1
loop_
_space_group_symop_operation_xyz
'x,y,z'
loop_
_atom_site_label
_atom_site_type_symbol
_atom_site_fract_x
_atom_site_fract_y
_atom_site_fract_z
Zr1 Zr 0.125 0.125 0.125
Zr2 Zr 0.125 0.125 0.626
Zr3 Zr 0.125 0.626 0.125
Zr4 Zr 0.626 0.125 0.125
Tl1 Tl 0.750 0.750 0.750
Au1 Au 0.500 0.500 0.500